Ca2PuCd2Pd5 | PBE | relaxed

Values from the calculation:
crystal system	tetragonal
raw total energy	-5.074	eV per atom
magnetization	0.539	μB/atom
calculated volume	420.4	Å³ per cell
DOS at the Fermi energy	18.1	states/eV/f.u.

abc: 4.031 10.212 10.212
angles: 90.00 90.00 90.00
Fractional coordinates of all 20 atoms:
Ca  0.000  0.672  0.172
Ca  0.000  0.328  0.828
Ca  0.000  0.172  0.328
Ca  0.000  0.828  0.672
Pu  0.000  0.000  0.000
Pu  0.000  0.500  0.500
Cd  0.000  0.125  0.625
Cd  0.000  0.875  0.375
Cd  0.000  0.625  0.875
Cd  0.000  0.375  0.125
Pd  0.500  0.199  0.063
Pd  0.500  0.801  0.937
Pd  0.500  0.063  0.801
Pd  0.500  0.699  0.437
Pd  0.500  0.937  0.199
Pd  0.500  0.301  0.563
Pd  0.500  0.563  0.699
Pd  0.500  0.437  0.301
Pd  0.500  0.500  0.000
Pd  0.500  0.000  0.500